CrHRh2 | PBE-GGA | optimized geometry

Calculated values
Energy, eV for the cell shown: -26.4
M_tot, μB/f.u.: 1.28
Calculated density, kg/m3: 9240

Lattice parameters (Å, degrees): 4.037 4.037 4.037 60.00 60.00 60.00
Sites, in units of the cell vectors:
Cr 0.000 0.000 0.000
H 0.500 0.500 0.500
Rh 0.250 0.250 0.250
Rh 0.750 0.750 0.750

=====

PmCrAs2Rh5 | PBE-GGA | optimized geometry

Calculated values
M_tot, μB/f.u.: 4.49
Calculated density, kg/m3: 7313
Energy of formation, eV per atom: -0.067

Lattice parameters (Å, degrees): 4.054 4.054 11.901 90.00 90.00 90.00
Sites, in units of the cell vectors:
Pm 0.000 0.000 0.000
Cr 0.500 0.500 0.500
As 0.500 0.500 0.291
As 0.500 0.500 0.709
Rh 0.000 0.500 0.180
Rh 0.000 0.500 0.820
Rh 0.500 0.000 0.180
Rh 0.500 0.000 0.820
Rh 0.500 0.500 0.000

=====

BaLu2In | PBE-GGA | optimized geometry

Calculated values
M_tot, μB/f.u.: 0.16
Calculated density, kg/m3: 7466
Energy of formation, eV per atom: 0.126

Lattice parameters (Å, degrees): 12.169 12.169 12.169 16.97 16.97 16.97
Sites, in units of the cell vectors:
Ba 0.000 0.000 0.000
Lu 0.100 0.100 0.100
Lu 0.900 0.900 0.900
In 0.500 0.500 0.500

=====

CeYTeO6 | PBE-GGA | optimized geometry

Calculated values
M_tot, μB/f.u.: 1.03
Calculated density, kg/m3: 5625
ΔE_f (raw), eV/f.u.: -21.699

Lattice parameters (Å, degrees): 5.619 5.619 9.772 90.00 90.00 120.00
Sites, in units of the cell vectors:
Ce 0.000 0.000 0.000
Ce 0.000 0.000 0.500
Y 0.333 0.667 0.250
Y 0.667 0.333 0.750
Te 0.333 0.667 0.750
Te 0.667 0.333 0.250
O 0.039 0.371 0.636
O 0.039 0.668 0.864
O 0.332 0.371 0.864
O 0.332 0.961 0.636
O 0.371 0.039 0.136
O 0.371 0.332 0.364
O 0.629 0.668 0.636
O 0.629 0.961 0.864
O 0.668 0.039 0.364
O 0.668 0.629 0.136
O 0.961 0.332 0.136
O 0.961 0.629 0.364

=====

SmCd11Pt | PBE-GGA | optimized geometry

Calculated values
M_tot, μB/f.u.: 0.00
Calculated density, kg/m3: 9144
Energy of formation, eV per atom: -0.165

Lattice parameters (Å, degrees): 7.647 7.647 7.599 98.22 98.22 135.67
Sites, in units of the cell vectors:
Sm 0.000 0.000 0.000
Cd 0.000 0.500 0.000
Cd 0.006 0.665 0.644
Cd 0.281 0.490 0.786
Cd 0.335 0.994 0.356
Cd 0.490 0.281 0.786
Cd 0.500 0.000 0.000
Cd 0.500 0.500 0.500
Cd 0.510 0.719 0.214
Cd 0.665 0.006 0.644
Cd 0.719 0.510 0.214
Cd 0.994 0.335 0.356
Pt 0.000 0.000 0.500

=====

Pr3Th2PaAs6 | PBE-GGA | optimized geometry

Calculated values
M_tot, μB/f.u.: 0.00
Calculated density, kg/m3: 7984
Energy of formation, eV per atom: -1.405

Lattice parameters (Å, degrees): 7.362 7.362 7.367 99.59 99.59 120.01
Sites, in units of the cell vectors:
Pr 0.000 0.000 0.000
Pr 0.331 0.669 0.000
Pr 0.669 0.331 0.000
Th 0.166 0.834 0.500
Th 0.834 0.166 0.500
Pa 0.500 0.500 0.500
As 0.095 0.420 0.260
As 0.256 0.256 0.740
As 0.420 0.095 0.260
As 0.580 0.905 0.740
As 0.744 0.744 0.260
As 0.905 0.580 0.740

=====

SrCo2Mo | PBE-GGA | optimized geometry

Calculated values
M_tot, μB/f.u.: 0.87
Calculated density, kg/m3: 6139
Energy of formation, eV per atom: 0.332

Lattice parameters (Å, degrees): 6.018 6.018 6.018 40.12 40.12 40.12
Sites, in units of the cell vectors:
Sr 0.000 0.000 0.000
Co 0.192 0.192 0.192
Co 0.808 0.808 0.808
Mo 0.500 0.500 0.500

=====

CaBi4S7 | PBE-GGA | optimized geometry

Calculated values
M_tot, μB/f.u.: 0.00
Calculated density, kg/m3: 5667
ΔE_f (raw), eV/f.u.: -7.705

Lattice parameters (Å, degrees): 7.111 7.111 12.059 102.75 102.75 32.91
Sites, in units of the cell vectors:
Ca 0.000 0.000 0.000
Bi 0.140 0.140 0.445
Bi 0.253 0.253 0.859
Bi 0.436 0.436 0.577
Bi 0.763 0.763 0.177
S 0.077 0.077 0.652
S 0.140 0.140 0.213
S 0.378 0.378 0.068
S 0.497 0.497 0.384
S 0.641 0.641 0.968
S 0.799 0.799 0.452
S 0.860 0.860 0.789

=====

MgReBr | PBE-GGA | optimized geometry

Calculated values
M_tot, μB/f.u.: 1.85
Calculated density, kg/m3: 7494
ΔE_f (raw), eV/f.u.: 4.177

Lattice parameters (Å, degrees): 4.498 4.498 4.498 60.00 60.00 60.00
Sites, in units of the cell vectors:
Mg 0.000 0.000 0.000
Re 0.750 0.750 0.750
Br 0.500 0.500 0.500

=====

SrZr2In | PBE-GGA | optimized geometry

Calculated values
M_tot, μB/f.u.: 0.60
Calculated density, kg/m3: 5856
Energy of formation, eV per atom: 0.252

Lattice parameters (Å, degrees): 6.523 6.523 6.523 149.91 127.69 61.53
Sites, in units of the cell vectors:
Sr 0.000 0.000 0.000
Zr 0.282 0.782 0.500
Zr 0.506 0.506 0.000
In 0.738 0.238 0.500

=====

RePHO2 | PBE-GGA | optimized geometry

Calculated values
Energy, eV for the cell shown: -27.3
M_tot, μB/f.u.: 0.37
Calculated density, kg/m3: 9149

Lattice parameters (Å, degrees): 3.915 3.915 2.963 90.00 90.00 90.00
Sites, in units of the cell vectors:
Re 0.000 0.000 0.000
P 0.500 0.500 0.000
H 0.500 0.500 0.500
O 0.000 0.500 0.500
O 0.500 0.000 0.500

=====

TlAg2Os | PBE-GGA | optimized geometry

Calculated values
M_tot, μB/f.u.: 0.92
Calculated density, kg/m3: 12781
Energy of formation, eV per atom: 0.919

Lattice parameters (Å, degrees): 10.606 10.606 10.606 158.61 158.61 30.43
Sites, in units of the cell vectors:
Tl 0.000 0.000 0.000
Tl 0.750 0.250 0.500
Ag 0.136 0.625 0.011
Ag 0.375 0.386 0.511
Ag 0.614 0.125 0.989
Ag 0.875 0.864 0.489
Os 0.250 0.750 0.500
Os 0.500 0.500 0.000